Record 1
! LiVP4O12, relaxed, DFT GGA-PBEsol; values from VASP
! Polymorph energy (0 for the lowest one)   0.0000 eV per atom
! Formation energy (no corrections)   -2181 meV/atom
&SYSTEM
  ibrav = 0, nat = 36, ntyp = 4
/
ATOMIC_SPECIES
O 16.00 O.upf
V 50.94 V.upf
P 30.97 P.upf
Li 6.94 Li.upf
ATOMIC_POSITIONS crystal
O 0.008 0.167 0.617
O 0.272 0.423 0.907
O 0.660 0.858 0.258
O 0.002 0.864 0.708
O 0.340 0.142 0.758
O 0.728 0.577 0.407
O 0.179 0.013 0.370
O 0.952 0.297 0.372
O 0.224 0.630 0.375
O 0.360 0.967 0.586
O 0.821 0.987 0.870
O 0.776 0.370 0.875
O 0.310 0.609 0.156
O 0.050 0.480 0.531
O 0.048 0.703 0.872
O 0.998 0.136 0.208
O 0.169 0.472 0.709
O 0.992 0.833 0.117
O 0.831 0.528 0.209
O 0.690 0.391 0.656
O 0.609 0.679 0.786
O 0.950 0.520 0.031
O 0.391 0.321 0.286
O 0.640 0.033 0.086
V 0.478 0.411 0.781
V 0.522 0.589 0.281
P 0.030 0.621 0.135
P 0.016 0.495 0.915
P 0.206 0.038 0.668
P 0.984 0.505 0.415
P 0.849 0.816 0.812
P 0.151 0.184 0.312
P 0.970 0.379 0.635
P 0.794 0.962 0.168
Li 0.351 0.875 0.454
Li 0.649 0.125 0.954
CELL_PARAMETERS angstrom
5.195 -0.088 0.000
-1.020 7.133 0.000
0.000 0.000 13.234



Record 2
! LiBiS2, relaxed, DFT GGA-PBEsol; values from VASP
! Formation energy (no corrections)   -179 meV/atom
&SYSTEM
  ibrav = 0, nat = 4, ntyp = 3
/
ATOMIC_SPECIES
S 32.06 S.upf
Li 6.94 Li.upf
Bi 208.98 Bi.upf
ATOMIC_POSITIONS crystal
S 0.896 0.896 0.311
S 0.104 0.104 0.689
Li 0.500 0.500 0.500
Bi 0.000 0.000 0.000
CELL_PARAMETERS angstrom
3.280 0.000 0.000
1.640 2.840 0.000
1.640 0.947 8.729



Record 3
! TePbAu2, relaxed, DFT GGA-PBEsol; values from VASP
! Polymorph energy (0 for the lowest one)   0.0000 eV per atom
! Formation energy (no corrections)   -28 meV/atom
&SYSTEM
  ibrav = 0, nat = 4, ntyp = 3
/
ATOMIC_SPECIES
Te 127.60 Te.upf
Au 196.97 Au.upf
Pb 207.20 Pb.upf
ATOMIC_POSITIONS crystal
Te 0.267 0.500 0.837
Au 0.917 0.500 0.309
Au 0.825 0.000 0.942
Pb 0.492 0.000 0.412
CELL_PARAMETERS angstrom
-3.224 1.955 -1.792
-2.317 -3.255 0.617
0.340 0.867 5.858



Record 4
! Zn2OsRh, relaxed, DFT GGA-PBEsol; values from VASP
! Uncorrected energy   -5.810 eV/atom
&SYSTEM
  ibrav = 0, nat = 4, ntyp = 3
/
ATOMIC_SPECIES
Zn 65.41 Zn.upf
Os 190.23 Os.upf
Rh 102.91 Rh.upf
ATOMIC_POSITIONS crystal
Zn 0.000 0.000 0.500
Zn 0.500 0.500 0.500
Os 0.500 0.000 0.000
Rh 0.000 0.500 0.000
CELL_PARAMETERS angstrom
-1.518 -0.315 -2.133
-3.212 -2.108 2.994
0.560 4.992 0.296



Record 5
! CrSi2Hg, relaxed, DFT GGA-PBEsol; values from VASP
! Formation energy (no corrections)   457 meV/atom
&SYSTEM
  ibrav = 0, nat = 4, ntyp = 3
/
ATOMIC_SPECIES
Hg 200.59 Hg.upf
Si 28.09 Si.upf
Cr 52.00 Cr.upf
ATOMIC_POSITIONS crystal
Hg 0.500 0.000 0.000
Si 0.000 0.000 0.500
Si 0.000 0.500 0.000
Cr 0.500 0.500 0.500
CELL_PARAMETERS angstrom
3.725 0.000 0.000
0.000 4.094 0.000
0.000 0.000 4.094



Record 6
! KMg3Ir, relaxed, DFT GGA-PBEsol; values from VASP
! Uncorrected energy   -1.271 eV/atom
&SYSTEM
  ibrav = 0, nat = 5, ntyp = 3
/
ATOMIC_SPECIES
Mg 24.30 Mg.upf
K 39.10 K.upf
Ir 192.22 Ir.upf
ATOMIC_POSITIONS crystal
Mg 0.000 0.000 0.500
Mg 0.500 0.000 0.000
Mg 0.000 0.500 0.000
K 0.000 0.000 0.000
Ir 0.500 0.500 0.500
CELL_PARAMETERS angstrom
4.947 0.000 0.000
0.000 4.947 0.000
0.000 0.000 4.947